The following is a GGA-PBEsol calculation of a geometry-optimized AlMo2Cl structure, from Alexandria.

The total energy comes out at -7.021 eV/atom. The magnetic moment comes out at 0.00 Bohr magnetons per cell. Its space group is P4/mmm, No. 123. The value obtained for the energy above the most stable polymorph in this dataset is 0 meV per atom.

abc: 3.253 3.253 6.413
angles: 90.00 90.00 90.00
Atoms (fractional coordinates):
Al 0.000 0.000 0.000
Mo 0.500 0.500 0.186
Mo 0.500 0.500 0.814
Cl 0.000 0.000 0.500

---

The following is a GGA-PBEsol calculation of a geometry-optimized Ta2ZnCl structure, from Alexandria.

The total energy comes out at -6.792 eV/atom. The magnetic moment comes out at 0.00 Bohr magnetons per cell. Its space group is P4/mmm, No. 123.

abc: 4.643 4.643 2.874
angles: 90.00 90.00 90.00
Atoms (fractional coordinates):
Ta 0.000 0.500 0.000
Ta 0.500 0.000 0.000
Zn 0.000 0.000 0.500
Cl 0.500 0.500 0.500

---

The following is a GGA-PBEsol calculation of a geometry-optimized ZnRhAu2 structure, from Alexandria.

The total energy comes out at -4.486 eV/atom. Its formation energy is -94 meV/atom. The magnetic moment comes out at 0.00 Bohr magnetons per cell. Its space group is I-4m2, No. 119.

abc: 4.701 4.701 4.701
angles: 129.24 129.24 74.62
Atoms (fractional coordinates):
Zn 0.000 0.000 0.000
Rh 0.250 0.750 0.500
Au 0.500 0.500 0.000
Au 0.750 0.250 0.500